Entry 1:
! SCAN Li2TlSn2, PBEsol geometry; values from VASP
&SYSTEM
  ibrav = 0, nat = 10, ntyp = 3
/
ATOMIC_SPECIES
Sn 118.71 Sn.upf
Li 6.94 Li.upf
Tl 204.38 Tl.upf
ATOMIC_POSITIONS angstrom
Sn 0.000 1.016 3.192
Sn 0.000 7.400 5.224
Li 1.589 5.721 6.903
Li 1.589 1.513 5.721
Li 1.589 2.695 1.513
Li 1.589 6.903 2.695
Tl 0.000 4.208 4.208
Sn 0.000 3.192 7.400
Tl 0.000 0.000 0.000
Sn 0.000 5.224 1.016
CELL_PARAMETERS angstrom
3.178 0.000 0.000
0.000 8.416 0.000
0.000 0.000 8.416
! **ΔE_f**: -0.24 eV/atom
! **Space group**: P4/mbm, No. 127
! **Crystal system**: tetragonal
! **Size of the total moment**: 0.00 Bohr magnetons per cell
! **Raw total energy**: -30.040 eV/atom

***

Entry 2:
! SCAN Li2YSn2, PBEsol geometry; values from VASP
&SYSTEM
  ibrav = 0, nat = 10, ntyp = 3
/
ATOMIC_SPECIES
Sn 118.71 Sn.upf
Y 88.91 Y.upf
Li 6.94 Li.upf
ATOMIC_POSITIONS angstrom
Sn 2.416 0.403 5.389
Y 0.000 0.000 0.000
Y 1.498 -2.782 4.794
Li 4.014 -1.642 6.541
Li 1.897 -0.359 2.638
Li -1.019 -3.922 3.048
Li 1.099 -5.206 6.951
Sn -1.381 -4.174 5.853
Sn 1.860 -2.743 8.142
Sn -0.825 -1.028 3.100
CELL_PARAMETERS angstrom
-1.960 1.794 1.653
-2.721 -6.576 3.910
5.716 1.012 5.678
! **ΔE_f**: -0.53 eV/atom
! **Energy above the lowest structure with this stoichiometry**: 57 meV per atom
! **Space group**: P4/mbm, No. 127
! **Crystal system**: tetragonal
! **Size of the total moment**: 0.88 Bohr magnetons per cell
! **Raw total energy**: -21.428 eV/atom

***

Entry 3:
! SCAN Li2YSn2, PBEsol geometry; values from VASP
&SYSTEM
  ibrav = 0, nat = 5, ntyp = 3
/
ATOMIC_SPECIES
Li 6.94 Li.upf
Sn 118.71 Sn.upf
Y 88.91 Y.upf
ATOMIC_POSITIONS angstrom
Li -3.078 -2.087 -0.454
Sn -0.676 -2.851 -1.464
Y 0.000 0.000 0.000
Li -0.983 -3.420 1.173
Sn -3.385 -2.656 2.183
CELL_PARAMETERS angstrom
-1.802 -0.757 -3.717
2.389 -3.423 -0.461
-4.647 -1.325 4.896
! **ΔE_f**: -0.59 eV/atom
! **Energy above the lowest structure with this stoichiometry**: 0 meV per atom
! **Space group**: I4/mmm, No. 139
! **Crystal system**: tetragonal
! **Size of the total moment**: 0.00 Bohr magnetons per cell
! **Raw total energy**: -21.485 eV/atom

***

Entry 4:
! SCAN Li3ZnSn, PBEsol geometry; values from VASP
&SYSTEM
  ibrav = 0, nat = 5, ntyp = 3
/
ATOMIC_SPECIES
Sn 118.71 Sn.upf
Zn 65.41 Zn.upf
Li 6.94 Li.upf
ATOMIC_POSITIONS angstrom
Sn 2.320 2.320 2.320
Zn 0.000 0.000 0.000
Li 0.000 2.320 0.000
Li 2.320 0.000 0.000
Li 0.000 0.000 2.320
CELL_PARAMETERS angstrom
4.640 0.000 0.000
0.000 4.640 0.000
0.000 0.000 4.640
! **ΔE_f**: 0.05 eV/atom
! **Energy above the lowest structure with this stoichiometry**: 0 meV per atom
! **Space group**: Pm-3m, No. 221
! **Crystal system**: cubic
! **Size of the total moment**: 0.00 Bohr magnetons per cell
! **Raw total energy**: -11.273 eV/atom

***

Entry 5:
! SCAN Li3ZnSn, PBEsol geometry; values from VASP
&SYSTEM
  ibrav = 0, nat = 5, ntyp = 3
/
ATOMIC_SPECIES
Li 6.94 Li.upf
Sn 118.71 Sn.upf
Zn 65.41 Zn.upf
ATOMIC_POSITIONS angstrom
Li 0.000 2.550 0.000
Sn 0.000 0.000 0.000
Zn 2.550 2.550 2.550
Li 2.550 0.000 0.000
Li 0.000 0.000 2.550
CELL_PARAMETERS angstrom
5.099 0.000 0.000
0.000 5.099 0.000
0.000 0.000 5.099
! **ΔE_f**: 0.24 eV/atom
! **Energy above the lowest structure with this stoichiometry**: 188 meV per atom
! **Space group**: Pm-3m, No. 221
! **Crystal system**: cubic
! **Size of the total moment**: 0.00 Bohr magnetons per cell
! **Raw total energy**: -11.084 eV/atom

***

Entry 6:
! SCAN Li2ZrSn2, PBEsol geometry; values from VASP
&SYSTEM
  ibrav = 0, nat = 5, ntyp = 3
/
ATOMIC_SPECIES
Zr 91.22 Zr.upf
Li 6.94 Li.upf
Sn 118.71 Sn.upf
ATOMIC_POSITIONS angstrom
Zr 0.000 0.000 0.000
Li -0.052 3.748 0.203
Sn -1.067 2.078 2.038
Sn 2.568 4.303 0.345
Li 1.552 2.633 2.180
CELL_PARAMETERS angstrom
-3.373 2.016 -0.033
-0.167 -0.215 3.920
5.040 4.580 -1.504
! **ΔE_f**: -0.35 eV/atom
! **Space group**: I4/mmm, No. 139
! **Crystal system**: tetragonal
! **Size of the total moment**: 0.00 Bohr magnetons per cell
! **Raw total energy**: -21.819 eV/atom

***

Entry 7:
! SCAN SrLi5, PBEsol geometry; values from VASP
&SYSTEM
  ibrav = 0, nat = 6, ntyp = 2
/
ATOMIC_SPECIES
Sr 87.62 Sr.upf
Li 6.94 Li.upf
ATOMIC_POSITIONS angstrom
Sr 0.000 0.000 0.000
Li -0.528 0.765 3.781
Li 0.492 -2.100 3.242
Li -0.663 -3.733 0.889
Li 2.220 0.267 2.778
Li 2.130 -2.731 0.850
CELL_PARAMETERS angstrom
-3.366 -1.736 2.856
2.040 -5.730 -1.079
2.310 3.266 4.707
! **ΔE_f**: 0.00 eV/atom
! **Energy above the lowest structure with this stoichiometry**: 0 meV per atom
! **Space group**: P6/mmm, No. 191
! **Crystal system**: hexagonal
! **Size of the total moment**: 0.35 Bohr magnetons per cell
! **Raw total energy**: -5.704 eV/atom

***

Entry 8:
! SCAN SrLi5, PBEsol geometry; values from VASP
&SYSTEM
  ibrav = 0, nat = 6, ntyp = 2
/
ATOMIC_SPECIES
Li 6.94 Li.upf
Sr 87.62 Sr.upf
ATOMIC_POSITIONS angstrom
Li 0.993 -5.354 1.277
Li 2.175 -4.924 -2.219
Li -0.697 -5.041 -0.999
Li -0.981 -2.679 1.248
Sr 0.008 -1.987 -2.251
Li 2.350 -3.184 0.034
CELL_PARAMETERS angstrom
-3.843 -2.809 2.468
-1.866 -1.426 -4.529
5.306 -3.182 -1.184
! **ΔE_f**: 0.04 eV/atom
! **Energy above the lowest structure with this stoichiometry**: 41 meV per atom
! **Space group**: Cmmm, No. 65
! **Crystal system**: orthorhombic
! **Size of the total moment**: 0.41 Bohr magnetons per cell
! **Raw total energy**: -5.663 eV/atom

***

Entry 9:
! SCAN SrLi5, PBEsol geometry; values from VASP
&SYSTEM
  ibrav = 0, nat = 6, ntyp = 2
/
ATOMIC_SPECIES
Li 6.94 Li.upf
Sr 87.62 Sr.upf
ATOMIC_POSITIONS angstrom
Li -3.004 -1.726 0.494
Li -1.400 -0.951 3.020
Li 1.319 -2.271 2.491
Li -2.081 -3.687 2.570
Li -0.476 -2.912 5.096
Sr 0.000 0.000 0.000
CELL_PARAMETERS angstrom
-0.966 2.474 2.767
-5.151 -2.571 -2.159
2.637 -4.541 4.981
! **ΔE_f**: 0.04 eV/atom
! **Energy above the lowest structure with this stoichiometry**: 45 meV per atom
! **Space group**: C2/m, No. 12
! **Crystal system**: monoclinic
! **Size of the total moment**: 0.39 Bohr magnetons per cell
! **Raw total energy**: -5.659 eV/atom

***

Entry 10:
! SCAN Sr4Li5, PBEsol geometry; values from VASP
&SYSTEM
  ibrav = 0, nat = 9, ntyp = 2
/
ATOMIC_SPECIES
Sr 87.62 Sr.upf
Li 6.94 Li.upf
ATOMIC_POSITIONS angstrom
Sr 5.591 2.320 2.320
Li 0.000 0.000 0.000
Li 5.591 0.000 5.475
Sr 5.591 5.277 5.277
Li 2.796 0.000 2.123
Sr 2.796 2.320 5.277
Li 2.796 2.123 0.000
Sr 2.796 5.277 2.320
Li 5.591 5.475 0.000
CELL_PARAMETERS angstrom
5.591 0.000 0.000
2.796 7.598 0.000
2.796 0.000 7.598
! **ΔE_f**: 0.06 eV/atom
! **Energy above the lowest structure with this stoichiometry**: 0 meV per atom
! **Space group**: I4/mmm, No. 139
! **Crystal system**: tetragonal
! **Size of the total moment**: 0.65 Bohr magnetons per cell
! **Raw total energy**: -11.164 eV/atom

***

Entry 11:
! SCAN SrLi2, PBEsol geometry; values from VASP
&SYSTEM
  ibrav = 0, nat = 6, ntyp = 2
/
ATOMIC_SPECIES
Li 6.94 Li.upf
Sr 87.62 Sr.upf
ATOMIC_POSITIONS angstrom
Li 2.025 4.735 6.833
Li 2.025 2.376 3.388
Sr 2.025 5.715 2.966
Li 2.025 0.678 5.762
Li 0.000 3.316 5.088
Sr 0.000 2.906 0.568
CELL_PARAMETERS angstrom
4.049 0.000 0.000
-2.025 6.125 0.010
0.000 -0.863 7.759
! **ΔE_f**: 0.07 eV/atom
! **Space group**: Cm, No. 8
! **Crystal system**: monoclinic
! **Size of the total moment**: 0.30 Bohr magnetons per cell
! **Raw total energy**: -8.946 eV/atom

***

Entry 12:
! SCAN SrLi2, PBEsol geometry; values from VASP
&SYSTEM
  ibrav = 0, nat = 6, ntyp = 2
/
ATOMIC_SPECIES
Li 6.94 Li.upf
Sr 87.62 Sr.upf
ATOMIC_POSITIONS angstrom
Li 2.356 2.356 7.375
Li 0.000 0.000 1.451
Li 0.000 2.356 2.962
Li 0.000 2.356 5.864
Sr 2.356 2.356 0.000
Sr 2.356 0.000 4.413
CELL_PARAMETERS angstrom
4.713 0.000 0.000
0.000 4.713 0.000
-2.356 -2.356 8.826
! **ΔE_f**: 0.06 eV/atom
! **Space group**: I4_1/amd, No. 141
! **Crystal system**: tetragonal
! **Size of the total moment**: 0.00 Bohr magnetons per cell
! **Raw total energy**: -8.961 eV/atom

***

- Which value of raw total energy does entry 1 give?
  -30.040 eV/atom